Entry 1:
## Ce4Pm11Dy9 (PBE-GGA)

Data for an optimized crystal structure of Ce4Pm11Dy9.

Cell lengths 16.980, 25.309, 3.667 Å; angles 90.00, 90.00, 90.00 degrees
Space group Cmmm (No. 65)
Symmetry-distinct sites (fractional):
Ce: 0.152 0.100 0.000
Pm: 0.000 0.135 0.500
Pm: 0.000 0.343 0.500
Pm: 0.000 0.500 0.500
Pm: 0.207 0.000 0.500
Pm: 0.230 0.320 0.500
Dy: 0.000 0.000 0.000
Dy: 0.102 0.237 0.000
Dy: 0.142 0.428 0.000

- Uncorrected energy: -4.79 eV per atom
- Volume: 32.83 A^3/atom
- ΔE_f: 98 meV/atom


Entry 2:
## TeI2NF (PBE-GGA)

Data for an optimized crystal structure of TeI2NF.

Cell lengths 6.144, 6.144, 3.926 Å; angles 90.00, 90.00, 90.00 degrees
Space group P4/mmm (No. 123)
Symmetry-distinct sites (fractional):
Te: 0.000 0.000 0.000
I: 0.000 0.500 0.000
N: 0.000 0.000 0.500
F: 0.500 0.500 0.500

- Formation energy without anion corrections: 3.4 eV per formula unit
- Uncorrected energy: -2.60 eV per atom
- Volume: 29.64 A^3/atom


Entry 3:
## AcSmTl4 (PBE-GGA)

Data for an optimized crystal structure of AcSmTl4.

Cell lengths 9.006, 9.006, 9.006 Å; angles 90.00, 90.00, 90.00 degrees
Space group F-43m (No. 216)
Symmetry-distinct sites (fractional):
Ac: 0.000 0.000 0.000
Sm: 0.250 0.250 0.750
Tl: 0.125 0.125 0.375

- Uncorrected energy: -3.21 eV per atom
- Volume: 30.43 A^3/atom
- ΔE_f: -163 meV/atom


Entry 4:
## FeOsRh2 (PBE-GGA)

Data for an optimized crystal structure of FeOsRh2.

Cell lengths 2.743, 4.581, 8.953 Å; angles 90.00, 90.00, 90.00 degrees
Space group Cmm2 (No. 35)
Symmetry-distinct sites (fractional):
Fe: 0.000 0.000 0.000
Os: 0.000 0.500 0.759
Rh: 0.000 0.000 0.502
Rh: 0.000 0.500 0.238

- Uncorrected energy: -8.33 eV per atom
- Volume: 14.06 A^3/atom
- ΔE_f: 268 meV/atom


Entry 5:
## BaIN2Cl (PBE-GGA)

Data for an optimized crystal structure of BaIN2Cl.

Cell lengths 4.851, 4.851, 5.359 Å; angles 90.00, 90.00, 90.00 degrees
Space group P4/mmm (No. 123)
Symmetry-distinct sites (fractional):
Ba: 0.000 0.000 0.000
I: 0.500 0.500 0.000
N: 0.000 0.500 0.500
Cl: 0.500 0.500 0.500

- Formation energy without anion corrections: 6.4 eV per formula unit
- Uncorrected energy: -3.10 eV per atom
- Volume: 25.22 A^3/atom


Entry 6:
## ZnSe2BrCl (PBE-GGA)

Data for an optimized crystal structure of ZnSe2BrCl.

Cell lengths 5.060, 5.060, 5.212 Å; angles 90.00, 90.00, 90.00 degrees
Space group P4/mmm (No. 123)
Symmetry-distinct sites (fractional):
Zn: 0.000 0.000 0.000
Se: 0.000 0.500 0.500
Br: 0.500 0.500 0.000
Cl: 0.500 0.500 0.500

- Formation energy without anion corrections: 3.9 eV per formula unit
- Uncorrected energy: -1.58 eV per atom
- Volume: 26.69 A^3/atom


Entry 7:
## BiSb4Pb15 (PBE-GGA)

Data for an optimized crystal structure of BiSb4Pb15.

Cell lengths 5.911, 5.911, 17.719 Å; angles 90.00, 90.00, 90.00 degrees
Space group P4/mmm (No. 123)
Symmetry-distinct sites (fractional):
Bi: 0.000 0.000 0.000
Sb: 0.000 0.000 0.203
Sb: 0.000 0.000 0.404
Pb: 0.000 0.500 0.102
Pb: 0.000 0.500 0.300
Pb: 0.000 0.500 0.500
Pb: 0.500 0.500 0.000
Pb: 0.500 0.500 0.200
Pb: 0.500 0.500 0.400

- Formation energy without anion corrections: 0.8 eV per formula unit
- Uncorrected energy: -3.76 eV per atom
- Volume: 30.95 A^3/atom


Entry 8:
## Co2SbHPd (PBE-GGA)

Data for an optimized crystal structure of Co2SbHPd.

Cell lengths 3.902, 3.902, 3.816 Å; angles 90.00, 90.00, 90.00 degrees
Space group P4/mmm (No. 123)
Symmetry-distinct sites (fractional):
Co: 0.000 0.500 0.000
Sb: 0.000 0.000 0.500
H: 0.500 0.500 0.000
Pd: 0.500 0.500 0.500

- Uncorrected energy: -5.38 eV per atom
- Volume: 11.62 A^3/atom


Entry 9:
## Rb2MnCdS4 (PBE-GGA)

Data for an optimized crystal structure of Rb2MnCdS4.

Cell lengths 5.843, 14.285, 23.491 Å; angles 90.00, 90.00, 90.00 degrees
Space group Fddd (No. 70, origin choice 2)
Symmetry-distinct sites (fractional):
Rb: 0.125 0.125 0.305
Mn: 0.125 0.125 0.625
Cd: 0.125 0.125 0.125
S: 0.080 0.274 0.824

- Formation energy without anion corrections: -6.0 eV per formula unit
- Uncorrected energy: -4.32 eV per atom
- Volume: 30.64 A^3/atom


Entry 10:
## BaSr3Mg8 (PBE-GGA)

Data for an optimized crystal structure of BaSr3Mg8.

Cell lengths 6.4779, 6.4779, 31.7754 Å; angles 90.00, 90.00, 120.00 degrees
Space group R3m (No. 160, hexagonal axes)
Symmetry-distinct sites (fractional):
Ba: 0.0000 0.0000 0.0000
Sr: 0.0000 0.0000 0.3756
Sr: 0.0000 0.0000 0.5002
Sr: 0.0000 0.0000 0.8745
Mg: 0.0000 0.0000 0.1873
Mg: 0.0000 0.0000 0.6880
Mg: 0.0015 0.5008 0.4387
Mg: 0.1675 0.3350 0.2698

- Uncorrected energy: -1.74 eV per atom
- Volume: 32.08 A^3/atom
- ΔE_f: -97 meV/atom


Entry 11:
## TaOs2Pt (PBE-GGA)

Data for an optimized crystal structure of TaOs2Pt.

Cell lengths 3.953, 3.953, 3.911 Å; angles 90.00, 90.00, 90.00 degrees
Space group P4/mmm (No. 123)
Symmetry-distinct sites (fractional):
Ta: 0.000 0.000 0.000
Os: 0.000 0.500 0.500
Pt: 0.500 0.500 0.000

- Uncorrected energy: -10.45 eV per atom
- Volume: 15.28 A^3/atom
- ΔE_f: -362 meV/atom


Entry 12:
## Sr2ZnSe (PBE-GGA)

Data for an optimized crystal structure of Sr2ZnSe.

Cell lengths 3.926, 3.928, 7.517 Å; angles 90.00, 90.08, 90.00 degrees
Space group P2/m (No. 10)
Symmetry-distinct sites (fractional):
Sr: 0.000 0.000 0.243
Zn: 0.500 0.500 0.500
Se: 0.500 0.500 0.000

- Formation energy without anion corrections: -3.7 eV per formula unit
- Uncorrected energy: -2.97 eV per atom
- Volume: 28.98 A^3/atom


Entry 13:
## TbPrCuTc (PBE-GGA)

Data for an optimized crystal structure of TbPrCuTc.

Cell lengths 7.042, 7.042, 7.042 Å; angles 90.00, 90.00, 90.00 degrees
Space group F-43m (No. 216)
Symmetry-distinct sites (fractional):
Tb: 0.000 0.000 0.000
Pr: 0.000 0.000 0.500
Cu: 0.250 0.250 0.250
Tc: 0.250 0.250 0.750

- Uncorrected energy: -5.94 eV per atom
- Volume: 21.82 A^3/atom
- ΔE_f: 24 meV/atom